CaGa6Br12: optimized geometry, PBE-GGA.

It has space group R-3 (No. 148, hexagonal axes), with a = 10.3581 Å, b = 10.3581 Å, c = 21.4098 Å, α = 90.00°, β = 90.00° and γ = 120.00°. Symmetry generates all atoms from Ca at (0.0000, 0.0000, 0.0000), Ga at (0.0180, 0.1789, 0.2857), Br at (0.0543, 0.2421, 0.9139) and Br at (0.0630, 0.2481, 0.4018).

The value obtained for the final energy is -2.84 eV per atom. Its uncorrected formation energy is -0.727 eV per atom.